Computed, not measured: CdTcPt2 after structural relaxation at the PBE level of DFT.

Calculated values
ρ, Mg/m³: 15.42
Energy of formation from the pure elements, kJ/mol of atoms: -4.86
Magnetic moment, μB/atom: 0.0006

a = 4.643 Å, b = 2.786 Å, c = 4.999 Å
α = 89.97°, β = 90.00°, γ = 90.00°
Sites, in units of the cell vectors:
Pt1 0.500 0.126 0.303
Pt2 0.000 0.125 0.959
Tc1 0.000 0.624 0.440
Cd1 0.500 0.625 0.797



Computed, not measured: CdTcPt2 after structural relaxation at the PBE level of DFT.

Calculated values
ρ, Mg/m³: 15.41
Energy of formation from the pure elements, kJ/mol of atoms: 8.56
Magnetic moment, μB/atom: 0.0003

a = 4.879 Å, b = 4.879 Å, c = 4.879 Å
α = 131.01°, β = 131.01°, γ = 71.80°
Sites, in units of the cell vectors:
Tc1 0.500 0.500 0.000
Pt1 0.250 0.750 0.500
Pt2 0.000 0.000 0.000
Cd1 0.750 0.250 0.500